A relaxed CrReAs crystal, computed with PBE-GGA.

The total DFT energy (no corrections) comes out at -8.658 eV/atom. Its total magnetization is 0.00 μB/atom. The energy relative to the elements is 0.25 eV per atom. Its symmetry is P3m1 (156). For the distance to the lowest polymorph of the same formula, the calculation gives 0.185 eV/atom. As for the crystal system: trigonal.

Cell lengths 2.830, 2.830, 6.207 Å; angles 90.00, 90.00, 120.00 degrees
Atoms (fractional coordinates):
Cr 0.000 0.000 0.000
Re 0.667 0.333 0.310
As 0.333 0.667 0.682